(1)
Here is a geometry-optimized Er2PaMnC4 structure from Alexandria via LeMat-Bulk. Energies are from PBE.

Geometry as POSCAR:
```
Er2PaMnC4
1.0
3.417 0.000 0.000
-1.708 5.720 0.000
0.000 0.000 11.788
Er Pa Mn C
4 2 2 8
direct
0.368 0.736 0.546
0.632 0.264 0.046
0.632 0.264 0.454
0.368 0.736 0.954
0.089 0.178 0.750
0.911 0.822 0.250
0.829 0.657 0.750
0.171 0.343 0.250
0.274 0.547 0.138
0.726 0.453 0.638
0.726 0.453 0.862
0.274 0.547 0.362
0.000 0.000 0.500
0.000 0.000 0.000
0.424 0.848 0.750
0.576 0.152 0.250
```

Computed properties:
- Formation energy: -91.2 kJ/mol of formula units
- SG: Cmcm (63)



(2)
Here is a geometry-optimized ErPa2MnC4 structure from Alexandria via LeMat-Bulk. Energies are from PBE.

Geometry as POSCAR:
```
ErPa2MnC4
1.0
3.528 0.000 0.000
-1.764 5.693 0.000
0.000 0.000 11.947
Er Pa Mn C
2 4 2 8
direct
0.114 0.229 0.750
0.886 0.771 0.250
0.366 0.732 0.547
0.634 0.268 0.047
0.634 0.268 0.453
0.366 0.732 0.953
0.844 0.688 0.750
0.156 0.312 0.250
0.265 0.530 0.132
0.735 0.470 0.632
0.735 0.470 0.868
0.265 0.530 0.368
0.000 0.000 0.500
0.000 0.000 0.000
0.415 0.830 0.750
0.585 0.170 0.250
```

Computed properties:
- Formation energy: -127.7 kJ/mol of formula units
- SG: Cmcm (63)